1.
Entry from the Alexandria database: a relaxed structure of ZnMo2P2 (PBE).

Lattice parameters (Å, degrees): 3.414 3.414 6.842 75.55 75.55 90.00
Element x y z (fractional)
P 0.750 0.250 0.500
P 0.250 0.750 0.500
Mo 0.385 0.385 0.231
Mo 0.615 0.615 0.769
Zn 0.000 0.000 0.000

Results
Energy of formation ... -48 kJ/mol of formula units
Energy above the lowest structure with this stoichiometry ... 116.3 meV/atom
Symmetry ... I4/mmm

=====

2.
Entry from the Alexandria database: a relaxed structure of Zn2MoP (PBE).

Lattice parameters (Å, degrees): 4.777 4.777 3.018 90.00 90.00 118.84
Element x y z (fractional)
Zn 0.500 0.000 0.000
Zn 0.000 0.500 0.000
Mo 0.000 0.000 0.500
P 0.500 0.500 0.500

Results
Energy of formation ... 54 kJ/mol of formula units
Symmetry ... Cmmm

=====

It is found that the density values, taken in the order of the records, are 7.1 7.1 g cm⁻³.